#1
# RbScC3

Crystalline RbScC3 at its relaxed geometry (PBE, Alexandria).

## Properties
N(E_F): 2.13 states/eV/cell
Space group: Pm-3m (221)

a b c (Å): 4.474 4.474 4.474
angles (deg): 90.00 90.00 90.00
Fractional positions:
C 0.000 0.500 0.000
Rb 0.500 0.500 0.500
C 0.500 0.000 0.000
Sc 0.000 0.000 0.000
C 0.000 0.000 0.500

#2
# RbScC3

Crystalline RbScC3 at its relaxed geometry (PBE, Alexandria).

## Properties
N(E_F): 4.92 states/eV/cell
Space group: Pm-3m (221)

a b c (Å): 4.332 4.332 4.332
angles (deg): 90.00 90.00 90.00
Fractional positions:
C 0.000 0.500 0.000
Sc 0.500 0.500 0.500
C 0.000 0.000 0.500
Rb 0.000 0.000 0.000
C 0.500 0.000 0.000

Ranking the structures above by energy, #1 is first and the second is 1497 meV per atom behind.